{
  "formula": "ReAuNO",
  "functional": "PBE-GGA",
  "state": "optimized geometry",
  "cell": [[-2.584, 2.314, 1.683], [-2.830, -1.738, -1.957], [-0.707, -4.327, 4.865]],
  "species": ["Au", "Au", "N", "N", "O", "O", "Re", "Re"],
  "frac_coords": [[0.000, 0.500, 0.181], [0.500, 0.000, 0.819], [0.500, 0.000, 0.380], [0.000, 0.500, 0.620], [0.000, 0.000, 0.000], [0.500, 0.500, 0.000], [0.000, 0.000, 0.500], [0.500, 0.500, 0.500]],
  "polymorph_energy_kj_per_mol_atoms": 62.15,
  "final_energy_ev_per_atom": -6.69,
  "volume_a3_per_atom": 12.16,
  "magnetic_moment_mub_per_fu": 0.01
}